(1)
Compound: Al2InSb
Source: the Alexandria database
Functional: PBE
Structure: optimized geometry

Cell and atoms, written as CIF:
```
data_Al2InSb
_chemical_formula_sum 'Al2 In1 Sb1'
_cell_length_a 3.020
_cell_length_b 3.843
_cell_length_c 7.937
_cell_angle_alpha 90.00
_cell_angle_beta 90.00
_cell_angle_gamma 90.00
_symmetry_space_group_name_H-M 'P 1'
_symmetry_Int_Tables_number 1
loop_
_symmetry_equiv_pos_as_xyz
'x,y,z'
loop_
_atom_site_label
_atom_site_fract_x
_atom_site_fract_y
_atom_site_fract_z
Al1 0.000 0.000 0.000
Al2 0.500 0.500 0.177
In1 0.500 0.500 0.759
Sb1 0.500 0.000 0.445
```

Values from the calculation:
ΔE_f (raw) ... 103 meV/atom



(2)
Compound: Be2S
Source: the Alexandria database
Functional: PBE
Structure: optimized geometry

Cell and atoms, written as CIF:
```
data_Be2S
_chemical_formula_sum 'Be4 S2'
_cell_length_a 3.857
_cell_length_b 3.857
_cell_length_c 7.723
_cell_angle_alpha 104.24
_cell_angle_beta 104.24
_cell_angle_gamma 57.96
_symmetry_space_group_name_H-M 'P 1'
_symmetry_Int_Tables_number 1
loop_
_symmetry_equiv_pos_as_xyz
'x,y,z'
loop_
_atom_site_label
_atom_site_fract_x
_atom_site_fract_y
_atom_site_fract_z
Be1 0.043 0.043 0.136
Be2 0.387 0.269 0.000
Be3 0.731 0.613 0.000
Be4 0.957 0.957 0.864
S1 0.418 0.421 0.749
S2 0.579 0.582 0.251
```

Values from the calculation:
ΔE_f (raw) ... -295 meV/atom



(3)
Compound: AcPmHo2Tm
Source: the Alexandria database
Functional: PBE
Structure: optimized geometry

Cell and atoms, written as CIF:
```
data_AcPmHo2Tm
_chemical_formula_sum 'Ac2 Pm2 Ho4 Tm2'
_cell_length_a 9.376
_cell_length_b 9.376
_cell_length_c 6.440
_cell_angle_alpha 90.00
_cell_angle_beta 90.00
_cell_angle_gamma 139.84
_symmetry_space_group_name_H-M 'P 1'
_symmetry_Int_Tables_number 1
loop_
_symmetry_equiv_pos_as_xyz
'x,y,z'
loop_
_atom_site_label
_atom_site_fract_x
_atom_site_fract_y
_atom_site_fract_z
Ac1 0.159 0.841 0.750
Ac2 0.841 0.159 0.250
Pm1 0.347 0.653 0.750
Pm2 0.653 0.347 0.250
Ho1 0.252 0.252 0.000
Ho2 0.252 0.252 0.500
Ho3 0.748 0.748 0.000
Ho4 0.748 0.748 0.500
Tm1 0.248 0.752 0.250
Tm2 0.752 0.248 0.750
```

Values from the calculation:
Formation enthalpy at 0 K ... 1.98 eV/f.u.